(1)
4
Lattice="2.745 0.000 0.000 0.000 2.745 0.000 0.000 0.000 7.318" Properties=species:S:1:pos:R:3 comment="CoAu meta-GGA SCAN single point on PBEsol structure" space_group="P4/nmm, No. 129" formation_energy_ev_per_atom=0.12 dft_energy_ev_per_atom=-43.11 pbc="T T T"
Co 1.373 0.000 4.326
Co 0.000 1.373 2.992
Au 1.373 0.000 1.107
Au 0.000 1.373 6.211

***

(2)
2
Lattice="2.734 0.000 0.000 1.367 2.368 0.000 1.367 0.789 4.314" Properties=species:S:1:pos:R:3 comment="CoAu meta-GGA SCAN single point on PBEsol structure" space_group="R-3m, No. 166" formation_energy_ev_per_atom=0.28 dft_energy_ev_per_atom=-42.95 pbc="T T T"
Au 0.000 0.000 0.000
Co 2.734 1.579 2.157

***

(3)
3
Lattice="-1.405 -2.037 1.054 1.054 0.524 2.418 -3.815 4.040 -0.708" Properties=species:S:1:pos:R:3 comment="Co2Au meta-GGA SCAN single point on PBEsol structure" space_group="I4/mmm, No. 139" formation_energy_ev_per_atom=0.16 dft_energy_ev_per_atom=-34.43 pbc="T T T"
Co -2.521 2.074 0.649
Co -1.645 0.453 2.115
Au 0.000 0.000 0.000

***

(4)
6
Lattice="2.694 0.000 0.000 -1.347 4.795 -0.001 0.000 -1.545 5.947" Properties=species:S:1:pos:R:3 comment="Co2Au meta-GGA SCAN single point on PBEsol structure" space_group="Cm, No. 8" formation_energy_ev_per_atom=0.20 dft_energy_ev_per_atom=-34.38 pbc="T T T"
Au 1.347 3.211 5.923
Au 1.347 1.149 2.079
Co 0.000 3.313 1.736
Co 0.000 -0.497 3.631
Co 0.000 2.193 3.984
Co 1.347 0.694 5.442